The following is a PBE calculation of VCo2Rh2 after structural relaxation, from the Alexandria database.

```
data_VCo2Rh2
_chemical_formula_sum 'V2 Co4 Rh4'
_space_group_name_H-M_alt 'P 4/m b m'
_space_group_IT_number 127
_space_group_name_Hall '-P 4 2ab'
_cell_length_a 5.997
_cell_length_b 5.997
_cell_length_c 3.623
_cell_angle_alpha 90.00
_cell_angle_beta 90.00
_cell_angle_gamma 90.00
loop_
_atom_site_label
_atom_site_fract_x
_atom_site_fract_y
_atom_site_fract_z
V1 0.000 0.000 0.000
Co1 0.134 0.366 0.000
Rh1 0.165 0.665 0.500
```

Results
Energy of formation, eV/f.u.: 0.28

***

The following is a PBE calculation of V3CoRh6 after structural relaxation, from the Alexandria database.

```
data_V3CoRh6
_chemical_formula_sum 'V6 Co2 Rh12'
_space_group_name_H-M_alt 'P 1 21/m 1'
_space_group_IT_number 11
_cell_length_a 7.184
_cell_length_b 4.285
_cell_length_c 9.369
_cell_angle_alpha 90.00
_cell_angle_beta 109.87
_cell_angle_gamma 90.00
loop_
_space_group_symop_operation_xyz
'x,y,z'
'-x,-y,-z'
'-x,y+1/2,-z'
'x,-y+1/2,z'
loop_
_atom_site_label
_atom_site_fract_x
_atom_site_fract_y
_atom_site_fract_z
V1 0.087 0.250 0.236
V2 0.297 0.250 0.028
V3 0.314 0.750 0.373
Co1 0.095 0.750 0.565
Rh1 0.084 0.250 0.722
Rh2 0.107 0.750 0.073
Rh3 0.286 0.250 0.527
Rh4 0.294 0.750 0.863
Rh5 0.495 0.250 0.329
Rh6 0.499 0.250 0.836
```

Results
Energy of formation, eV/f.u.: -3.17

***

The following is a PBE calculation of V2CoRh8 after structural relaxation, from the Alexandria database.

```
data_V2CoRh8
_chemical_formula_sum 'V4 Co2 Rh16'
_space_group_name_H-M_alt 'I m m m'
_space_group_IT_number 71
_space_group_name_Hall '-I 2 2'
_cell_length_a 4.008
_cell_length_b 6.625
_cell_length_c 11.723
_cell_angle_alpha 90.00
_cell_angle_beta 90.00
_cell_angle_gamma 90.00
loop_
_atom_site_label
_atom_site_fract_x
_atom_site_fract_y
_atom_site_fract_z
V1 0.000 0.000 0.202
Co1 0.000 0.000 0.500
Rh1 0.000 0.196 0.000
Rh2 0.000 0.287 0.348
Rh3 0.000 0.500 0.150
```

Results
Energy of formation, eV/f.u.: -1.16

***

The following is a PBE calculation of V2CoRh2 after structural relaxation, from the Alexandria database.

```
data_V2CoRh2
_chemical_formula_sum 'V4 Co2 Rh4'
_space_group_name_H-M_alt 'P 4/m b m'
_space_group_IT_number 127
_space_group_name_Hall '-P 4 2ab'
_cell_length_a 7.253
_cell_length_b 7.253
_cell_length_c 2.707
_cell_angle_alpha 90.00
_cell_angle_beta 90.00
_cell_angle_gamma 90.00
loop_
_atom_site_label
_atom_site_fract_x
_atom_site_fract_y
_atom_site_fract_z
V1 0.156 0.344 0.000
Co1 0.000 0.000 0.000
Rh1 0.141 0.641 0.500
```

Results
Energy of formation, eV/f.u.: 0.03

***

The following is a PBE calculation of V2Co3Rh3 after structural relaxation, from the Alexandria database.

```
data_V2Co3Rh3
_chemical_formula_sum 'V2 Co3 Rh3'
_space_group_name_H-M_alt 'P m m m'
_space_group_IT_number 47
_cell_length_a 3.633
_cell_length_b 3.695
_cell_length_c 7.394
_cell_angle_alpha 90.00
_cell_angle_beta 90.00
_cell_angle_gamma 90.00
loop_
_space_group_symop_operation_xyz
'x,y,z'
'-x,-y,-z'
'-x,-y,z'
'x,y,-z'
'x,-y,-z'
'-x,y,z'
'-x,y,-z'
'x,-y,z'
loop_
_atom_site_label
_atom_site_fract_x
_atom_site_fract_y
_atom_site_fract_z
V1 0.000 0.000 0.242
Co1 0.000 0.500 0.000
Co2 0.000 0.500 0.500
Co3 0.500 0.000 0.000
Rh1 0.500 0.000 0.500
Rh2 0.500 0.500 0.243
```

Results
Energy of formation, eV/f.u.: -2.01

***

The following is a PBE calculation of VCoRh after structural relaxation, from the Alexandria database.

```
data_VCoRh
_chemical_formula_sum 'V2 Co2 Rh2'
_space_group_name_H-M_alt 'I 4 m m'
_space_group_IT_number 107
_space_group_name_Hall 'I 4 -2'
_cell_length_a 2.976
_cell_length_b 2.976
_cell_length_c 8.696
_cell_angle_alpha 90.00
_cell_angle_beta 90.00
_cell_angle_gamma 90.00
loop_
_atom_site_label
_atom_site_fract_x
_atom_site_fract_y
_atom_site_fract_z
V1 0.000 0.000 0.000
Co1 0.000 0.000 0.367
Rh1 0.000 0.000 0.674
```

Results
Energy of formation, eV/f.u.: -0.48

***

The following is a PBE calculation of VCoRhW after structural relaxation, from the Alexandria database.

```
data_VCoRhW
_chemical_formula_sum 'V4 Co4 Rh4 W4'
_space_group_name_H-M_alt 'F -4 3 m'
_space_group_IT_number 216
_space_group_name_Hall 'F -4 2 3'
_cell_length_a 6.018
_cell_length_b 6.018
_cell_length_c 6.018
_cell_angle_alpha 90.00
_cell_angle_beta 90.00
_cell_angle_gamma 90.00
loop_
_atom_site_label
_atom_site_fract_x
_atom_site_fract_y
_atom_site_fract_z
V1 0.000 0.000 0.000
Co1 0.250 0.250 0.750
Rh1 0.000 0.000 0.500
W1 0.250 0.250 0.250
```

Results
Energy of formation, eV/f.u.: 0.23

***

The following is a PBE calculation of VZnCoRh after structural relaxation, from the Alexandria database.

```
data_VZnCoRh
_chemical_formula_sum 'V1 Zn1 Co1 Rh1'
_space_group_name_H-M_alt 'P 4 m m'
_space_group_IT_number 99
_cell_length_a 2.971
_cell_length_b 2.971
_cell_length_c 5.829
_cell_angle_alpha 90.00
_cell_angle_beta 90.00
_cell_angle_gamma 90.00
loop_
_space_group_symop_operation_xyz
'x,y,z'
'-y,x,z'
'-x,-y,z'
'y,-x,z'
'-x,y,z'
'y,x,z'
'x,-y,z'
'-y,-x,z'
loop_
_atom_site_label
_atom_site_fract_x
_atom_site_fract_y
_atom_site_fract_z
V1 0.000 0.000 0.000
Zn1 0.000 0.000 0.534
Co1 0.500 0.500 0.782
Rh1 0.500 0.500 0.260
```

Results
Energy of formation, eV/f.u.: -1.09

***

The following is a PBE calculation of VZnCoRh after structural relaxation, from the Alexandria database.

```
data_VZnCoRh
_chemical_formula_sum 'V4 Zn4 Co4 Rh4'
_space_group_name_H-M_alt 'F -4 3 m'
_space_group_IT_number 216
_space_group_name_Hall 'F -4 2 3'
_cell_length_a 5.903
_cell_length_b 5.903
_cell_length_c 5.903
_cell_angle_alpha 90.00
_cell_angle_beta 90.00
_cell_angle_gamma 90.00
loop_
_atom_site_label
_atom_site_fract_x
_atom_site_fract_y
_atom_site_fract_z
V1 0.000 0.000 0.000
Zn1 0.000 0.000 0.500
Co1 0.250 0.250 0.250
Rh1 0.250 0.250 0.750
```

Results
Energy of formation, eV/f.u.: -1.01

***

The following is a PBE calculation of CoRhW2 after structural relaxation, from the Alexandria database.

```
data_CoRhW2
_chemical_formula_sum 'Co3 Rh3 W6'
_space_group_name_H-M_alt 'R 3 m'
_space_group_IT_number 160
_space_group_name_Hall 'R 3 -2"'
_cell_length_a 2.7557
_cell_length_b 2.7557
_cell_length_c 26.6254
_cell_angle_alpha 90.00
_cell_angle_beta 90.00
_cell_angle_gamma 120.00
loop_
_atom_site_label
_atom_site_fract_x
_atom_site_fract_y
_atom_site_fract_z
Co1 0.0000 0.0000 0.0000
Rh1 0.0000 0.0000 0.7485
W1 0.0000 0.0000 0.2572
W2 0.0000 0.0000 0.4961
```

Results
Energy of formation, eV/f.u.: 0.74

***

The following is a PBE calculation of CoRhW after structural relaxation, from the Alexandria database.

```
data_CoRhW
_chemical_formula_sum 'Co4 Rh4 W4'
_space_group_name_H-M_alt 'C 1 2/m 1'
_space_group_IT_number 12
_cell_length_a 8.510
_cell_length_b 3.712
_cell_length_c 5.518
_cell_angle_alpha 90.00
_cell_angle_beta 108.96
_cell_angle_gamma 90.00
loop_
_space_group_symop_operation_xyz
'x,y,z'
'-x,-y,-z'
'-x,y,-z'
'x,-y,z'
'x+1/2,y+1/2,z'
'-x+1/2,-y+1/2,-z'
'-x+1/2,y+1/2,-z'
'x+1/2,-y+1/2,z'
loop_
_atom_site_label
_atom_site_fract_x
_atom_site_fract_y
_atom_site_fract_z
Co1 0.007 0.000 0.278
Rh1 0.163 0.500 0.090
W1 0.167 0.500 0.605
```

Results
Energy of formation, eV/f.u.: 0.05

***

The following is a PBE calculation of Co3RhW after structural relaxation, from the Alexandria database.

```
data_Co3RhW
_chemical_formula_sum 'Co3 Rh1 W1'
_space_group_name_H-M_alt 'P m -3 m'
_space_group_IT_number 221
_space_group_name_Hall '-P 4 2 3'
_cell_length_a 4.396
_cell_length_b 4.396
_cell_length_c 4.396
_cell_angle_alpha 90.00
_cell_angle_beta 90.00
_cell_angle_gamma 90.00
loop_
_atom_site_label
_atom_site_fract_x
_atom_site_fract_y
_atom_site_fract_z
Co1 0.000 0.000 0.500
Rh1 0.000 0.000 0.000
W1 0.500 0.500 0.500
```

Results
Energy of formation, eV/f.u.: 9.11

***

The following is a PBE calculation of CoRhW2 after structural relaxation, from the Alexandria database.

```
data_CoRhW2
_chemical_formula_sum 'Co4 Rh4 W8'
_space_group_name_H-M_alt 'I -4 2 d'
_space_group_IT_number 122
_space_group_name_Hall 'I -4 2bw'
_cell_length_a 3.801
_cell_length_b 3.801
_cell_length_c 17.399
_cell_angle_alpha 90.00
_cell_angle_beta 90.00
_cell_angle_gamma 90.00
loop_
_atom_site_label
_atom_site_fract_x
_atom_site_fract_y
_atom_site_fract_z
Co1 0.000 0.000 0.000
Rh1 0.000 0.000 0.500
W1 0.232 0.250 0.125
```

Results
Energy of formation, eV/f.u.: 2.71